Record 1
MgGaH3: optimized geometry, GGA-PBE.

Computed properties:
* ΔE to the lowest computed polymorph: 0.187 eV/atom
* theoretical density: 2.97 g/cm³
* E_tot: -12.97 eV per formula unit
* V: 10.84 Å³/atom

a = 3.7847 Å, b = 3.7847 Å, c = 3.7847 Å
α = 90.00°, β = 90.00°, γ = 90.00°
Space group Pm-3m (No. 221)
Inequivalent atoms, fractional coordinates:
Mg: 0.0000 0.0000 0.0000
Ga: 0.5000 0.5000 0.5000
H: 0.0000 0.5000 0.5000


Record 2
Bi4Pt2Rh: optimized geometry, GGA-PBE.

Computed properties:
* ΔE to the lowest computed polymorph: 0.430 eV/atom
* theoretical density: 11.48 g/cm³
* E_tot: -33.72 eV per formula unit
* ΔE_f: 0.177 eV per atom
* V: 27.45 Å³/atom

a = 5.3518 Å, b = 5.3518 Å, c = 13.4198 Å
α = 90.00°, β = 90.00°, γ = 90.00°
Space group I4/mmm (No. 139)
Inequivalent atoms, fractional coordinates:
Bi: 0.0000 0.0000 0.2046
Bi: 0.0000 0.5000 0.0000
Pt: 0.0000 0.0000 0.3995
Rh: 0.0000 0.0000 0.0000